Below is a relaxed structure of Al3Cr, with properties calculated at the PBE level.

DOS(E_F), states/eV/cell: 11.08
Energy relative to the elements, eV/atom: 0.131

Geometry as CIF:
```
data_Al3Cr
_chemical_formula_sum 'Al12 Cr4'
_symmetry_space_group_name_H-M 'F m -3 m'
_symmetry_Int_Tables_number 225
_symmetry_space_group_name_Hall '-F 4 2 3'
_cell_length_a 6.2366
_cell_length_b 6.2366
_cell_length_c 6.2366
_cell_angle_alpha 90.00
_cell_angle_beta 90.00
_cell_angle_gamma 90.00
loop_
_atom_site_label
_atom_site_fract_x
_atom_site_fract_y
_atom_site_fract_z
Al1 0.0000 0.0000 0.0000
Al2 0.2500 0.2500 0.2500
Cr1 0.0000 0.0000 0.5000
```